Entry 1:
# Sc2NiB | Alexandria | PBE | optimized geometry
data_Sc2NiB
_cell_length_a 8.066
_cell_length_b 8.066
_cell_length_c 8.066
_cell_angle_alpha 22.58
_cell_angle_beta 22.58
_cell_angle_gamma 22.58
_space_group_name_H-M_alt 'P 1'
_space_group_IT_number 1
loop_
_space_group_symop_operation_xyz
'x,y,z'
loop_
_atom_site_label
_atom_site_fract_x
_atom_site_fract_y
_atom_site_fract_z
Sc1 0.898 0.898 0.898
Sc2 0.102 0.102 0.102
Ni1 0.000 0.000 0.000
B1 0.500 0.500 0.500
# uncorrected energy = -24.012 eV/cell
# space-group type = R-3m, No. 166
# energy of formation from the pure elements = 0.277 eV per atom

***

Entry 2:
# CrSn2S4 | Alexandria | PBE | optimized geometry
data_CrSn2S4
_cell_length_a 4.505
_cell_length_b 4.505
_cell_length_c 8.028
_cell_angle_alpha 73.70
_cell_angle_beta 73.70
_cell_angle_gamma 90.00
_space_group_name_H-M_alt 'P 1'
_space_group_IT_number 1
loop_
_space_group_symop_operation_xyz
'x,y,z'
loop_
_atom_site_label
_atom_site_fract_x
_atom_site_fract_y
_atom_site_fract_z
Cr1 0.000 0.000 0.000
S1 0.168 0.168 0.665
S2 0.832 0.832 0.335
S3 0.000 0.500 0.000
S4 0.500 0.000 0.000
Sn1 0.353 0.353 0.295
Sn2 0.647 0.647 0.705
# uncorrected energy = -35.833 eV/cell
# space-group type = I4/mmm, No. 139
# ΔE_f (raw) = -0.242 eV/atom

***

Entry 3:
# HoZrSn | Alexandria | PBE | optimized geometry
data_HoZrSn
_cell_length_a 3.886
_cell_length_b 3.886
_cell_length_c 5.601
_cell_angle_alpha 110.30
_cell_angle_beta 110.30
_cell_angle_gamma 90.00
_space_group_name_H-M_alt 'P 1'
_space_group_IT_number 1
loop_
_space_group_symop_operation_xyz
'x,y,z'
loop_
_atom_site_label
_atom_site_fract_x
_atom_site_fract_y
_atom_site_fract_z
Ho1 0.954 0.954 0.908
Zr1 0.272 0.272 0.544
Sn1 0.624 0.624 0.247
# uncorrected energy = -18.199 eV/cell
# space-group type = I4mm, No. 107
# energy of formation from the pure elements = -0.357 eV per atom

***

uncorrected energy of number 3 (HoZrSn)?
-18.199 eV/cell

***

What is the uncorrected energy in the first record?
-24.012 eV/cell

***

What is the formula in the third record?
HoZrSn